Entry 1:
A plane-wave DFT calculation with PBE was carried out for Cr2TcHg after structural relaxation.

abc: 2.9146 3.6939 5.6994
angles: 90.00 90.00 90.00
With the nearest neighbours (Å) after each atom.
Sites, in units of the cell vectors:
1 Cr 0.0000 0.0000 0.1841  1 Cr 2.10
2 Cr 0.0000 0.0000 0.8159  1 Cr 2.10
3 Tc 0.5000 0.5000 0.0000  8 Cr 2.58, 2 Hg 2.85
4 Hg 0.5000 0.5000 0.5000  2 Tc 2.85, 2 Hg 2.91, 8 Cr 2.96

Values from the calculation:
DFT total energy (eV per atom): -7.098
Formation energy from the elements (eV/atom): 0.38
Magnetic moment (Bohr magnetons per cell): 0.000
Fermi-level density of states (states/eV per atom): 0.84

---

Entry 2:
A plane-wave DFT calculation with PBE was carried out for CrTc2Hg after structural relaxation.

abc: 2.8707 3.8377 5.7053
angles: 90.00 90.00 90.00
With the nearest neighbours (Å) after each atom.
Sites, in units of the cell vectors:
1 Cr 0.0000 0.0000 0.0000  1 Tc 2.29
2 Tc 0.0000 0.0000 0.5991  1 Cr 2.29
3 Tc 0.5000 0.5000 0.8038  4 Cr 2.64, 6 Tc 2.67-2.87, 2 Hg 2.80-2.90
4 Hg 0.5000 0.5000 0.2949  6 Tc 2.80-2.96, 2 Hg 2.87, 4 Cr 2.93

Values from the calculation:
DFT total energy (eV per atom): -7.292
Formation energy from the elements (eV/atom): 0.37
Magnetic moment (Bohr magnetons per cell): 0.128
Fermi-level density of states (states/eV per atom): 0.86

---

Entry 3:
A plane-wave DFT calculation with PBE was carried out for Cr2TcHg after structural relaxation.

abc: 2.8977 3.6060 5.7840
angles: 90.00 90.00 90.00
With the nearest neighbours (Å) after each atom.
Sites, in units of the cell vectors:
1 Cr 0.0000 0.0000 0.0000  4 Cr 2.55, 4 Tc 2.58, 1 Hg 2.81
2 Cr 0.5000 0.5000 0.1859  1 Tc 2.22
3 Tc 0.5000 0.5000 0.8028  1 Cr 2.22
4 Hg 0.0000 0.0000 0.4861  6 Cr 2.81-2.97, 2 Hg 2.90, 4 Tc 2.95

Values from the calculation:
DFT total energy (eV per atom): -7.063
Formation energy from the elements (eV/atom): 0.42
Magnetic moment (Bohr magnetons per cell): 0.071
Fermi-level density of states (states/eV per atom): 0.96

---

Entry 4:
A plane-wave DFT calculation with PBE was carried out for CrTc2Hg after structural relaxation.

abc: 2.7375 2.7375 8.9975
angles: 90.00 90.00 111.94
With the nearest neighbours (Å) after each atom.
Sites, in units of the cell vectors:
1 Cr 0.0000 0.0000 0.0000  4 Tc 2.47, 4 Cr 2.74
2 Tc 0.5000 0.5000 0.2151  2 Cr 2.47, 4 Tc 2.74
3 Tc 0.5000 0.5000 0.7849  2 Cr 2.47, 4 Tc 2.74
4 Hg 0.0000 0.0000 0.5000  6 Hg 2.74-3.06, 4 Tc 2.99

Values from the calculation:
DFT total energy (eV per atom): -7.222
Formation energy from the elements (eV/atom): 0.44
Magnetic moment (Bohr magnetons per cell): 0.001
Fermi-level density of states (states/eV per atom): 1.11

---

Entry 5:
A plane-wave DFT calculation with PBE was carried out for Cr2TcHg after structural relaxation.

abc: 8.9376 8.9376 8.9376
angles: 18.57 18.57 18.57
With the nearest neighbours (Å) after each atom.
Sites, in units of the cell vectors:
1 Cr 0.2412 0.2412 0.2412  3 Tc 2.58, 6 Cr 2.88
2 Cr 0.7588 0.7588 0.7588  3 Tc 2.58, 6 Cr 2.88
3 Tc 0.5000 0.5000 0.5000  6 Cr 2.58, 6 Tc 2.88
4 Hg 0.0000 0.0000 0.0000  6 Hg 2.88, 6 Cr 2.94

Values from the calculation:
DFT total energy (eV per atom): -6.968
Formation energy from the elements (eV/atom): 0.51
Magnetic moment (Bohr magnetons per cell): 4.410
Fermi-level density of states (states/eV per atom): 0.98

---

Entry 6:
A plane-wave DFT calculation with PBE was carried out for CrTc2Hg after structural relaxation.

abc: 2.8841 2.8841 7.4422
angles: 90.00 90.00 90.00
With the nearest neighbours (Å) after each atom.
Sites, in units of the cell vectors:
1 Cr 0.0000 0.0000 0.0000  8 Tc 2.54
2 Tc 0.5000 0.5000 0.2030  4 Cr 2.54
3 Tc 0.5000 0.5000 0.7970  4 Cr 2.54
4 Hg 0.0000 0.0000 0.5000  4 Hg 2.88, 8 Tc 3.01

Values from the calculation:
DFT total energy (eV per atom): -7.306
Formation energy from the elements (eV/atom): 0.36
Magnetic moment (Bohr magnetons per cell): 0.000
Fermi-level density of states (states/eV per atom): 1.26

---

Question: What is the formula in the fourth record?
Answer: CrTc2Hg